# 1
The following is a DFT calculation (GGA-PBE) of an optimized crystal structure of TmPbAuSe3.

Properties
- VASP energy: -4.602 eV/atom
- Space group: Pnma (62)

a b c (Å): 10.070 4.190 15.488
angles (deg): 90.00 90.00 90.00
Element x y z (fractional)
1 Tm 0.172 0.250 0.023
2 Tm 0.328 0.750 0.523
3 Tm 0.672 0.250 0.477
4 Tm 0.828 0.750 0.977
5 Pb 0.036 0.750 0.296
6 Pb 0.464 0.250 0.796
7 Pb 0.536 0.750 0.204
8 Pb 0.964 0.250 0.704
9 Au 0.242 0.750 0.828
10 Au 0.258 0.250 0.328
11 Au 0.742 0.750 0.672
12 Au 0.758 0.250 0.172
13 Se 0.023 0.750 0.105
14 Se 0.156 0.250 0.473
15 Se 0.162 0.750 0.679
16 Se 0.338 0.250 0.179
17 Se 0.344 0.750 0.973
18 Se 0.477 0.250 0.605
19 Se 0.523 0.750 0.395
20 Se 0.656 0.250 0.027
21 Se 0.662 0.750 0.821
22 Se 0.838 0.250 0.321
23 Se 0.844 0.750 0.527
24 Se 0.977 0.250 0.895

=====

# 2
The following is a DFT calculation (GGA-PBE) of an optimized crystal structure of ErTmCS.

Properties
- VASP energy: -6.897 eV/atom
- Space group: P-6m2 (187)

a b c (Å): 3.654 3.654 12.713
angles (deg): 90.00 90.00 120.00
Element x y z (fractional)
1 Er 0.000 0.000 0.147
2 Er 0.000 0.000 0.853
3 Tm 0.667 0.333 0.354
4 Tm 0.667 0.333 0.646
5 C 0.333 0.667 0.251
6 C 0.333 0.667 0.749
7 S 0.000 0.000 0.500
8 S 0.667 0.333 0.000

=====

Density list, top to bottom, in Mg/m³: 8.23; 8.59